1.
## CsHoCuS2 (PBE-GGA)

Data for a geometry-optimized CsHoCuS2 structure.

a b c (Å): 4.7373 8.0594 7.8314
angles (deg): 99.85 90.00 90.00
Last column: nearest neighbours and their distance in Å.
Element x y z (fractional)
Cs (0.1744, 0.5000, 0.7500)  6 S 3.54-3.58
S (0.6801, 0.2074, 0.5351)  1 Cu 2.24
Ho (0.5053, 0.0000, 0.7500)  4 S 2.70
Ho (0.4947, 0.0000, 0.2500)  4 S 2.70
Cu (0.0000, 0.0000, 0.5000)  2 S 2.24
S (0.3199, 0.2074, 0.0351)  1 Cu 2.24
Cu (0.0000, 0.0000, 0.0000)  2 S 2.24
S (0.3199, 0.7926, 0.4649)  1 Cu 2.24
S (0.6801, 0.7926, 0.9649)  1 Cu 2.24
Cs (0.8256, 0.5000, 0.2500)  6 S 3.54-3.58

Output
**Magnetic moment**: 0.000 μB/f.u.
**Electronic total energy**: -4.656 eV/atom
**N(E_F)**: 2.96 states/eV/f.u.
**Crystal system**: monoclinic
**ΔE_f (raw)**: -1.100 eV/atom

=====

2.
## Cs2HoCu2Se4 (PBE-GGA)

Data for a geometry-optimized Cs2HoCu2Se4 structure.

a b c (Å): 4.1075 8.4955 7.9214
angles (deg): 106.84 105.03 90.00
Last column: nearest neighbours and their distance in Å.
Element x y z (fractional)
Cu (0.3203, 0.0161, 0.6406)  4 Se 2.48-2.50
Cs (0.8650, 0.4429, 0.7301)  7 Se 3.57-3.81, 1 Cs 3.95
Se (0.8025, 0.8447, 0.6051)  3 Cu 2.48-2.50
Se (0.1975, 0.1553, 0.3949)  3 Cu 2.48-2.50
Cs (0.1350, 0.5571, 0.2699)  7 Se 3.57-3.81, 1 Cs 3.95
Ho (0.0000, 0.0000, 0.0000)  6 Se 2.86-2.91
Cu (0.6797, 0.9839, 0.3594)  4 Se 2.48-2.50
Se (0.5230, 0.7817, 0.0459)  1 Cu 2.50
Se (0.4770, 0.2183, 0.9541)  1 Cu 2.50

Output
**Magnetic moment**: 0.000 μB/f.u.
**Electronic total energy**: -4.214 eV/atom
**N(E_F)**: 6.16 states/eV/f.u.
**Crystal system**: monoclinic
**ΔE_f (raw)**: -1.057 eV/atom

=====

3.
## CsHo2CuSe4 (PBE-GGA)

Data for a geometry-optimized CsHo2CuSe4 structure.

a b c (Å): 4.1559 7.6024 14.4830
angles (deg): 90.00 90.00 105.86
Last column: nearest neighbours and their distance in Å.
Element x y z (fractional)
Ho (0.6334, 0.2668, 0.0630)  6 Se 2.82-2.99
Cu (0.1666, 0.3333, 0.2500)  4 Se 2.45-2.48
Se (0.7427, 0.4854, 0.8946)  1 Cu 2.48
Cu (0.8334, 0.6667, 0.7500)  4 Se 2.45-2.48
Se (0.7427, 0.4854, 0.6054)  1 Cu 2.48
Ho (0.6334, 0.2668, 0.4370)  6 Se 2.82-2.99
Se (0.0000, 0.0000, 0.0000)  4 Ho 2.99
Cs (0.1089, 0.2179, 0.7500)  6 Se 3.43-3.54
Ho (0.3666, 0.7332, 0.9370)  6 Se 2.82-2.99
Se (0.2573, 0.5146, 0.3946)  1 Cu 2.48
Cs (0.8911, 0.7821, 0.2500)  6 Se 3.43-3.54
Ho (0.3666, 0.7332, 0.5630)  6 Se 2.82-2.99
Se (0.0000, 0.0000, 0.5000)  4 Ho 2.99
Se (0.5774, 0.1548, 0.2500)  2 Cu 2.45
Se (0.4226, 0.8452, 0.7500)  2 Cu 2.45
Se (0.2573, 0.5146, 0.1054)  1 Cu 2.48

Output
**Magnetic moment**: 0.000 μB/f.u.
**Electronic total energy**: -4.990 eV/atom
**Crystal system**: orthorhombic
**ΔE_f (raw)**: -1.485 eV/atom

=====

Copy entry 1 word for word.
## CsHoCuS2 (PBE-GGA)

Data for a geometry-optimized CsHoCuS2 structure.

a b c (Å): 4.7373 8.0594 7.8314
angles (deg): 99.85 90.00 90.00
Last column: nearest neighbours and their distance in Å.
Element x y z (fractional)
Cs (0.1744, 0.5000, 0.7500)  6 S 3.54-3.58
S (0.6801, 0.2074, 0.5351)  1 Cu 2.24
Ho (0.5053, 0.0000, 0.7500)  4 S 2.70
Ho (0.4947, 0.0000, 0.2500)  4 S 2.70
Cu (0.0000, 0.0000, 0.5000)  2 S 2.24
S (0.3199, 0.2074, 0.0351)  1 Cu 2.24
Cu (0.0000, 0.0000, 0.0000)  2 S 2.24
S (0.3199, 0.7926, 0.4649)  1 Cu 2.24
S (0.6801, 0.7926, 0.9649)  1 Cu 2.24
Cs (0.8256, 0.5000, 0.2500)  6 S 3.54-3.58

Output
**Magnetic moment**: 0.000 μB/f.u.
**Electronic total energy**: -4.656 eV/atom
**N(E_F)**: 2.96 states/eV/f.u.
**Crystal system**: monoclinic
**ΔE_f (raw)**: -1.100 eV/atom